LiTlH2 | PBE | optimized geometry

- N(E_F): 0.00 states/eV per atom
- Size of the total moment: 0.00 μB/cell
- Calculated total energy: -42.8 eV for the cell shown

a b c (Å): 5.722 5.722 7.154
angles (deg): 90.00 90.00 90.00
Sites, in units of the cell vectors:
Li (0.000, 0.000, 0.000)
Li (0.000, 0.500, 0.250)
Li (0.500, 0.000, 0.750)
Li (0.500, 0.500, 0.500)
Tl (0.000, 0.000, 0.500)
Tl (0.000, 0.500, 0.750)
Tl (0.500, 0.000, 0.250)
Tl (0.500, 0.500, 0.000)
H (0.139, 0.250, 0.125)
H (0.250, 0.639, 0.375)
H (0.250, 0.861, 0.875)
H (0.361, 0.250, 0.625)
H (0.639, 0.750, 0.625)
H (0.750, 0.139, 0.875)
H (0.750, 0.361, 0.375)
H (0.861, 0.750, 0.125)

=====

Tm3Ga2 | PBE | optimized geometry

- N(E_F): 0.52 states/eV per atom
- Size of the total moment: 0.00 μB/cell
- Calculated total energy: -177.6 eV for the cell shown

a b c (Å): 10.928 10.928 10.928
angles (deg): 116.83 116.83 95.59
Sites, in units of the cell vectors:
Tm (0.067, 0.931, 0.270)
Tm (0.069, 0.339, 0.136)
Tm (0.145, 0.645, 0.500)
Tm (0.161, 0.431, 0.864)
Tm (0.170, 0.330, 0.500)
Tm (0.203, 0.933, 0.864)
Tm (0.297, 0.161, 0.730)
Tm (0.330, 0.830, 0.161)
Tm (0.339, 0.203, 0.270)
Tm (0.355, 0.855, 0.500)
Tm (0.431, 0.567, 0.270)
Tm (0.433, 0.703, 0.864)
Tm (0.567, 0.297, 0.136)
Tm (0.569, 0.433, 0.730)
Tm (0.645, 0.145, 0.500)
Tm (0.661, 0.797, 0.730)
Tm (0.670, 0.170, 0.839)
Tm (0.703, 0.839, 0.270)
Tm (0.797, 0.067, 0.136)
Tm (0.830, 0.670, 0.500)
Tm (0.839, 0.569, 0.136)
Tm (0.855, 0.355, 0.500)
Tm (0.931, 0.661, 0.864)
Tm (0.933, 0.069, 0.730)
Ga (0.000, 0.000, 0.000)
Ga (0.024, 0.878, 0.500)
Ga (0.119, 0.619, 0.737)
Ga (0.122, 0.622, 0.146)
Ga (0.250, 0.250, 0.000)
Ga (0.378, 0.524, 0.500)
Ga (0.381, 0.119, 0.500)
Ga (0.476, 0.976, 0.854)
Ga (0.500, 0.500, 0.000)
Ga (0.524, 0.024, 0.146)
Ga (0.619, 0.881, 0.500)
Ga (0.622, 0.476, 0.500)
Ga (0.750, 0.750, 0.000)
Ga (0.878, 0.378, 0.854)
Ga (0.881, 0.381, 0.263)
Ga (0.976, 0.122, 0.500)

=====

Sr2Zn3Rh2 | PBE | optimized geometry

- N(E_F): 0.52 states/eV per atom
- Size of the total moment: 0.00 μB/cell
- Calculated total energy: -49.3 eV for the cell shown

a b c (Å): 11.011 4.196 7.449
angles (deg): 90.00 118.37 90.00
Sites, in units of the cell vectors:
Sr (0.134, 0.000, 0.269)
Sr (0.366, 0.500, 0.731)
Sr (0.634, 0.500, 0.269)
Sr (0.866, 0.000, 0.731)
Zn (0.000, 0.500, 0.500)
Zn (0.161, 0.500, 0.928)
Zn (0.339, 0.000, 0.072)
Zn (0.500, 0.000, 0.500)
Zn (0.661, 0.000, 0.928)
Zn (0.839, 0.500, 0.072)
Rh (0.134, 0.000, 0.699)
Rh (0.366, 0.500, 0.301)
Rh (0.634, 0.500, 0.699)
Rh (0.866, 0.000, 0.301)

=====

VFe2MoBr | PBE | optimized geometry

- N(E_F): 1.81 states/eV per atom
- Size of the total moment: 0.00 μB/cell
- Calculated total energy: -31.1 eV for the cell shown
- Formation energy without anion corrections: 1.482 eV/atom

a b c (Å): 4.209 4.209 4.417
angles (deg): 90.00 90.00 90.00
Sites, in units of the cell vectors:
V (0.000, 0.000, 0.000)
Fe (0.000, 0.500, 0.500)
Fe (0.500, 0.000, 0.500)
Mo (0.500, 0.500, 0.000)
Br (0.000, 0.000, 0.500)

=====

CaCd2In4 | PBE | optimized geometry

- N(E_F): 0.34 states/eV per atom
- Size of the total moment: 0.00 μB/cell
- Calculated total energy: -31.5 eV for the cell shown

a b c (Å): 9.928 8.211 5.433
angles (deg): 90.00 122.20 90.00
Sites, in units of the cell vectors:
Ca (0.000, 0.000, 0.000)
Ca (0.500, 0.500, 0.000)
Cd (0.036, 0.500, 0.785)
Cd (0.464, 0.000, 0.215)
Cd (0.536, 0.000, 0.785)
Cd (0.964, 0.500, 0.215)
In (0.189, 0.192, 0.682)
In (0.189, 0.808, 0.682)
In (0.311, 0.308, 0.318)
In (0.311, 0.692, 0.318)
In (0.689, 0.308, 0.682)
In (0.689, 0.692, 0.682)
In (0.811, 0.192, 0.318)
In (0.811, 0.808, 0.318)

=====

LaTlCu2F | PBE | optimized geometry

- N(E_F): 1.10 states/eV per atom
- Size of the total moment: 0.79 μB/cell
- Calculated total energy: -18.0 eV for the cell shown
- Formation energy without anion corrections: -0.129 eV/atom

a b c (Å): 4.657 4.657 5.005
angles (deg): 90.00 90.00 90.00
Sites, in units of the cell vectors:
La (0.000, 0.000, 0.000)
Tl (0.500, 0.500, 0.000)
Cu (0.000, 0.500, 0.500)
Cu (0.500, 0.000, 0.500)
F (0.500, 0.500, 0.500)

=====

Sm3Y4Tm5 | PBE | optimized geometry

- N(E_F): 1.36 states/eV per atom
- Size of the total moment: 0.00 μB/cell
- Calculated total energy: -62.1 eV for the cell shown

a b c (Å): 6.148 7.101 8.691
angles (deg): 89.95 89.84 89.87
Sites, in units of the cell vectors:
Sm (0.000, 0.000, 0.000)
Sm (0.168, 0.249, 0.332)
Sm (0.832, 0.751, 0.668)
Y (0.168, 0.750, 0.333)
Y (0.332, 0.501, 0.669)
Y (0.668, 0.499, 0.331)
Y (0.832, 0.250, 0.667)
Tm (0.000, 0.500, 0.000)
Tm (0.335, 0.000, 0.668)
Tm (0.500, 0.250, 0.000)
Tm (0.500, 0.750, 0.000)
Tm (0.665, 0.000, 0.332)

=====

AcPmPuTh | PBE | optimized geometry

- N(E_F): 3.87 states/eV per atom
- Size of the total moment: 32.66 μB/cell
- Calculated total energy: -117.3 eV for the cell shown

a b c (Å): 8.205 8.205 8.205
angles (deg): 90.00 90.00 90.00
Sites, in units of the cell vectors:
Ac (0.000, 0.000, 0.000)
Ac (0.000, 0.500, 0.500)
Ac (0.500, 0.000, 0.500)
Ac (0.500, 0.500, 0.000)
Pm (0.250, 0.250, 0.250)
Pm (0.250, 0.750, 0.750)
Pm (0.750, 0.250, 0.750)
Pm (0.750, 0.750, 0.250)
Pu (0.000, 0.000, 0.500)
Pu (0.000, 0.500, 0.000)
Pu (0.500, 0.000, 0.000)
Pu (0.500, 0.500, 0.500)
Th (0.250, 0.250, 0.750)
Th (0.250, 0.750, 0.250)
Th (0.750, 0.250, 0.250)
Th (0.750, 0.750, 0.750)

=====

Mg2ScW | PBE | optimized geometry

- N(E_F): 0.87 states/eV per atom
- Size of the total moment: 0.00 μB/cell
- Calculated total energy: -41.6 eV for the cell shown

a b c (Å): 4.228 4.228 8.613
angles (deg): 90.00 90.00 90.00
Sites, in units of the cell vectors:
Mg (0.000, 0.000, 0.000)
Mg (0.000, 0.500, 0.250)
Mg (0.500, 0.000, 0.750)
Mg (0.500, 0.500, 0.500)
Sc (0.000, 0.500, 0.750)
Sc (0.500, 0.000, 0.250)
W (0.000, 0.000, 0.500)
W (0.500, 0.500, 0.000)

=====

Sm5CuRu2 | PBE | optimized geometry

- N(E_F): 0.93 states/eV per atom
- Size of the total moment: 0.00 μB/cell
- Calculated total energy: -96.1 eV for the cell shown

a b c (Å): 8.628 8.628 8.628
angles (deg): 125.90 125.90 80.06
Sites, in units of the cell vectors:
Sm (0.000, 0.000, 0.000)
Sm (0.022, 0.522, 0.818)
Sm (0.204, 0.022, 0.500)
Sm (0.296, 0.796, 0.818)
Sm (0.478, 0.296, 0.500)
Sm (0.500, 0.500, 0.000)
Sm (0.522, 0.704, 0.500)
Sm (0.704, 0.204, 0.182)
Sm (0.796, 0.978, 0.500)
Sm (0.978, 0.478, 0.182)
Cu (0.250, 0.250, 0.000)
Cu (0.750, 0.750, 0.000)
Ru (0.142, 0.358, 0.500)
Ru (0.358, 0.858, 0.216)
Ru (0.642, 0.142, 0.784)
Ru (0.858, 0.642, 0.500)

=====

KCSN2 | PBE | optimized geometry

- N(E_F): 0.52 states/eV per atom
- Size of the total moment: 3.81 μB/cell
- Calculated total energy: -20.2 eV for the cell shown
- Formation energy without anion corrections: 2.182 eV/atom

a b c (Å): 4.108 4.108 4.119
angles (deg): 90.00 90.00 90.00
Sites, in units of the cell vectors:
K (0.000, 0.000, 0.000)
C (0.500, 0.500, 0.500)
S (0.500, 0.500, 0.000)
N (0.000, 0.500, 0.500)
N (0.500, 0.000, 0.500)

=====

La6FeOs2Cl3 | PBE | optimized geometry

- N(E_F): 1.05 states/eV per atom
- Size of the total moment: 0.11 μB/cell
- Calculated total energy: -75.9 eV for the cell shown
- Formation energy without anion corrections: -0.825 eV/atom

a b c (Å): 7.155 7.155 7.944
angles (deg): 98.60 98.60 120.00
Sites, in units of the cell vectors:
La (0.068, 0.395, 0.203)
La (0.259, 0.259, 0.798)
La (0.395, 0.068, 0.203)
La (0.605, 0.932, 0.797)
La (0.741, 0.741, 0.202)
La (0.932, 0.605, 0.797)
Fe (0.000, 0.000, 0.000)
Os (0.333, 0.667, 0.000)
Os (0.667, 0.333, 0.000)
Cl (0.166, 0.834, 0.500)
Cl (0.500, 0.500, 0.500)
Cl (0.834, 0.166, 0.500)

=====

Sr4Cu2H | PBE | optimized geometry

- N(E_F): 0.75 states/eV per atom
- Size of the total moment: 0.00 μB/cell
- Calculated total energy: -37.3 eV for the cell shown

a b c (Å): 5.033 5.033 16.584
angles (deg): 90.00 90.00 90.00
Sites, in units of the cell vectors:
Sr (0.000, 0.000, 0.186)
Sr (0.000, 0.000, 0.814)
Sr (0.000, 0.500, 0.000)
Sr (0.000, 0.500, 0.500)
Sr (0.500, 0.000, 0.000)
Sr (0.500, 0.000, 0.500)
Sr (0.500, 0.500, 0.314)
Sr (0.500, 0.500, 0.686)
Cu (0.000, 0.000, 0.377)
Cu (0.000, 0.000, 0.623)
Cu (0.500, 0.500, 0.123)
Cu (0.500, 0.500, 0.877)
H (0.000, 0.000, 0.000)
H (0.500, 0.500, 0.500)

=====

CsPr2C2N6 | PBE | optimized geometry

- N(E_F): 0.34 states/eV per atom
- Size of the total moment: 0.88 μB/cell
- Calculated total energy: -82.3 eV for the cell shown
- Formation energy without anion corrections: -0.314 eV/atom

a b c (Å): 6.195 6.195 6.384
angles (deg): 108.95 108.95 61.97
Sites, in units of the cell vectors:
Cs (0.000, 0.000, 0.000)
Pr (0.329, 0.329, 0.703)
Pr (0.671, 0.671, 0.297)
C (0.339, 0.339, 0.253)
C (0.661, 0.661, 0.747)
N (0.117, 0.474, 0.316)
N (0.422, 0.422, 0.139)
N (0.474, 0.117, 0.316)
N (0.526, 0.883, 0.684)
N (0.578, 0.578, 0.861)
N (0.883, 0.526, 0.684)

=====

Tl2CrTc2S4 | PBE | optimized geometry

- N(E_F): 0.30 states/eV per atom
- Size of the total moment: 2.29 μB/cell
- Calculated total energy: -55.1 eV for the cell shown
- Formation energy without anion corrections: -0.394 eV/atom

a b c (Å): 7.177 7.177 8.469
angles (deg): 97.75 97.75 25.74
Sites, in units of the cell vectors:
Tl (0.128, 0.128, 0.012)
Tl (0.872, 0.872, 0.988)
Cr (0.000, 0.000, 0.500)
Tc (0.334, 0.334, 0.519)
Tc (0.666, 0.666, 0.481)
S (0.211, 0.211, 0.676)
S (0.478, 0.478, 0.694)
S (0.522, 0.522, 0.306)
S (0.789, 0.789, 0.324)

=====

LiTiSb3 | PBE | optimized geometry

- N(E_F): 0.73 states/eV per atom
- Size of the total moment: 0.00 μB/cell
- Calculated total energy: -22.2 eV for the cell shown
- Formation energy without anion corrections: -0.004 eV/atom

a b c (Å): 5.291 5.291 5.291
angles (deg): 90.00 90.00 90.00
Sites, in units of the cell vectors:
Li (0.000, 0.000, 0.000)
Ti (0.500, 0.500, 0.500)
Sb (0.000, 0.500, 0.500)
Sb (0.500, 0.000, 0.500)
Sb (0.500, 0.500, 0.000)

=====

CeTmSiPd | PBE | optimized geometry

- N(E_F): 1.96 states/eV per atom
- Size of the total moment: 3.73 μB/cell
- Calculated total energy: -93.9 eV for the cell shown
- Formation energy without anion corrections: -0.615 eV/atom

a b c (Å): 7.085 7.085 7.085
angles (deg): 90.00 90.00 90.00
Sites, in units of the cell vectors:
Ce (0.000, 0.000, 0.000)
Ce (0.000, 0.500, 0.500)
Ce (0.500, 0.000, 0.500)
Ce (0.500, 0.500, 0.000)
Tm (0.000, 0.000, 0.500)
Tm (0.000, 0.500, 0.000)
Tm (0.500, 0.000, 0.000)
Tm (0.500, 0.500, 0.500)
Si (0.250, 0.250, 0.250)
Si (0.250, 0.750, 0.750)
Si (0.750, 0.250, 0.750)
Si (0.750, 0.750, 0.250)
Pd (0.250, 0.250, 0.750)
Pd (0.250, 0.750, 0.250)
Pd (0.750, 0.250, 0.250)
Pd (0.750, 0.750, 0.750)

=====

TaBe2Zn | PBE | optimized geometry

- N(E_F): 0.36 states/eV per atom
- Size of the total moment: 0.00 μB/cell
- Calculated total energy: -39.4 eV for the cell shown

a b c (Å): 5.362 7.981 2.531
angles (deg): 90.00 106.26 90.00
Sites, in units of the cell vectors:
Ta (0.000, 0.000, 0.000)
Ta (0.500, 0.500, 0.000)
Be (0.250, 0.250, 0.500)
Be (0.250, 0.750, 0.500)
Be (0.750, 0.250, 0.500)
Be (0.750, 0.750, 0.500)
Zn (0.000, 0.500, 0.000)
Zn (0.500, 0.000, 0.000)

=====

LuMg2Cr3S8 | PBE | optimized geometry

- Size of the total moment: 2.98 μB/cell
- Calculated total energy: -85.3 eV for the cell shown
- Formation energy without anion corrections: -1.120 eV/atom

a b c (Å): 7.301 7.301 7.366
angles (deg): 119.52 119.52 60.33
Sites, in units of the cell vectors:
Lu (0.000, 0.000, 0.000)
Mg (0.376, 0.376, 0.127)
Mg (0.624, 0.624, 0.873)
Cr (0.000, 0.000, 0.500)
Cr (0.000, 0.500, 0.500)
Cr (0.500, 0.000, 0.500)
S (0.220, 0.749, 0.716)
S (0.238, 0.238, 0.712)
S (0.251, 0.780, 0.284)
S (0.252, 0.252, 0.286)
S (0.748, 0.748, 0.714)
S (0.749, 0.220, 0.716)
S (0.762, 0.762, 0.288)
S (0.780, 0.251, 0.284)

=====

MnGe | PBE | optimized geometry

- N(E_F): 0.95 states/eV per atom
- Size of the total moment: 0.96 μB/cell
- Calculated total energy: -13.6 eV for the cell shown

a b c (Å): 2.932 2.932 2.932
angles (deg): 90.00 90.00 90.00
Sites, in units of the cell vectors:
Mn (0.000, 0.000, 0.000)
Ge (0.500, 0.500, 0.500)